Computed, not measured: a crystal of BaAl3Os relaxed with PBEsol at the SCAN level of DFT.

abc: 4.818 4.818 4.818
angles: 90.00 90.00 90.00
Positions (direct):
Os  0.000  0.000  0.000
Ba  0.500  0.500  0.500
Al  0.000  0.500  0.000
Al  0.500  0.000  0.000
Al  0.000  0.000  0.500

Values from the calculation:
Volume   111.9 Å³/cell
Energy of formation from the pure elements   -2.24 eV/f.u.
DOS(E_F)   1.513 states/eV per cell

=====

Computed, not measured: a crystal of B3RuSe relaxed with PBEsol at the SCAN level of DFT.

abc: 3.970 3.970 3.970
angles: 90.00 90.00 90.00
Positions (direct):
Se  0.000  0.000  0.000
B  0.000  0.500  0.000
B  0.500  0.000  0.000
B  0.000  0.000  0.500
Ru  0.500  0.500  0.500

Values from the calculation:
Volume   62.6 Å³/cell
VASP energy   -13.120 eV/atom
DOS(E_F)   2.577 states/eV per cell

=====

Computed, not measured: a crystal of KH3W relaxed with PBEsol at the SCAN level of DFT.

abc: 3.918 3.918 3.918
angles: 90.00 90.00 90.00
Positions (direct):
H  0.500  0.000  0.000
H  0.000  0.000  0.500
H  0.000  0.500  0.000
K  0.000  0.000  0.000
W  0.500  0.500  0.500

Values from the calculation:
Volume   60.2 Å³/cell
VASP energy   -15.575 eV/atom
DOS(E_F)   0.994 states/eV per cell

=====

Number 1: mass density 6.06 g/cm3. Number 2: mass density 5.64 g/cm3. Number 3: mass density 6.24 g/cm3.